First-principles (GGA-PBE) data for a relaxed LuTaNb2 crystal, as listed in the Open Quantum Materials Database.

The structure in CIF format:
```
data_LuTaNb2
_chemical_formula_sum 'Lu4 Ta4 Nb8'
_cell_length_a 6.8274
_cell_length_b 6.8274
_cell_length_c 6.8274
_cell_angle_alpha 90.00
_cell_angle_beta 90.00
_cell_angle_gamma 90.00
_symmetry_space_group_name_H-M 'F -4 3 m'
_symmetry_Int_Tables_number 216
_symmetry_space_group_name_Hall 'F -4 2 3'
loop_
_atom_site_label
_atom_site_fract_x
_atom_site_fract_y
_atom_site_fract_z
Lu1 0.0000 0.0000 0.0000
Ta1 0.2500 0.2500 0.7500
Nb1 0.0000 0.0000 0.5000
Nb2 0.2500 0.2500 0.2500
```

Output
total energy	-8.849	eV per atom